No. 1
DFT (GGA-PBE) results for crystalline Y2Pd5Pt4 at its relaxed geometry.

Cell lengths 5.871, 5.871, 8.627 Å; angles 121.74, 121.74, 56.23 degrees
Positions (direct):
1 Y 0.199 0.199 0.268
2 Y 0.801 0.801 0.732
3 Pd 0.246 0.730 0.325
4 Pd 0.270 0.754 0.675
5 Pd 0.500 0.500 0.000
6 Pd 0.730 0.246 0.325
7 Pd 0.754 0.270 0.675
8 Pt 0.239 0.239 0.632
9 Pt 0.240 0.240 0.984
10 Pt 0.760 0.760 0.016
11 Pt 0.761 0.761 0.368

Output
DFT total energy, eV per atom: -6.28
Formation energy, eV/atom: -0.551

---

No. 2
DFT (GGA-PBE) results for crystalline Y2PdPt at its relaxed geometry.

Cell lengths 4.998, 4.998, 3.453 Å; angles 90.00, 90.00, 90.00 degrees
Positions (direct):
1 Y 0.000 0.500 0.000
2 Y 0.500 0.000 0.000
3 Pd 0.000 0.000 0.500
4 Pt 0.500 0.500 0.500

Output
DFT total energy, eV per atom: -7.09
Formation energy, eV/atom: -1.051

---

No. 3
DFT (GGA-PBE) results for crystalline Y2Pd6Pt at its relaxed geometry.

Cell lengths 5.576, 5.576, 6.235 Å; angles 90.15, 90.15, 59.95 degrees
Positions (direct):
1 Y 0.167 0.167 0.150
2 Y 0.833 0.833 0.850
3 Pd 0.154 0.673 0.325
4 Pd 0.327 0.327 0.674
5 Pd 0.327 0.846 0.675
6 Pd 0.673 0.154 0.325
7 Pd 0.673 0.673 0.326
8 Pd 0.846 0.327 0.675
9 Pt 0.500 0.500 0.000

Output
Polymorph energy (0 for the lowest one), eV/atom: 0.034
DFT total energy, eV per atom: -6.20
Formation energy, eV/atom: -0.630